An optimized crystal structure of V3ReMo, computed with PBE.

Calculated values
For the calculated volume, the calculation gives 17.4 Å³ per atom. The formation energy is 154.8 kJ per mole of atoms. As for the calculated total energy: -42.6 eV for the cell shown.

Unit cell a=4.4336 b=4.4336 c=4.4336 alpha=90.00 beta=90.00 gamma=90.00
Closest atoms and distances in Å follow each position.
Space group Pm-3m (No. 221)
One atom of each set of equivalent atoms:
V  0.0000  0.0000  0.5000 x3  2 Mo 2.22
Re  0.5000  0.5000  0.5000 x1  12 V 3.14
Mo  0.0000  0.0000  0.0000 x1  6 V 2.22

An optimized crystal structure of V6ReMo12, computed with PBE.

Calculated values
For the calculated volume, the calculation gives 15.4 Å³ per atom. The formation energy is 26.4 kJ per mole of atoms. As for the calculated total energy: -575.8 eV for the cell shown.

Unit cell a=12.0172 b=12.0172 c=7.0381 alpha=90.00 beta=90.00 gamma=120.00
Closest atoms and distances in Å follow each position.
Space group R-3 (No. 148, hexagonal axes)
One atom of each set of equivalent atoms:
V  0.0333  0.2622  0.3243 x18  6 Mo 2.58-2.81, 1 V 2.78
Re  0.0000  0.0000  0.0000 x3  12 Mo 2.82-2.90
Mo  0.0180  0.1422  0.6706 x18  3 V 2.58-2.79, 4 Mo 2.65-2.79, 1 Re 2.82
Mo  0.0630  0.5885  0.6696 x18  3 V 2.58-2.81, 2 Mo 2.65-2.77

An optimized crystal structure of V3ReMo4, computed with PBE.

Calculated values
For the calculated volume, the calculation gives 15.1 Å³ per atom. The formation energy is 2.9 kJ per mole of atoms. As for the calculated total energy: -165.8 eV for the cell shown.

Unit cell a=10.4401 b=8.8057 c=2.6644 alpha=90.00 beta=100.22 gamma=90.00
Closest atoms and distances in Å follow each position.
Space group C2/m (No. 12)
One atom of each set of equivalent atoms:
V  0.0000  0.0000  0.0000 x2  4 Mo 2.59, 4 V 2.66-2.67
V  0.2453  0.5000  0.0253 x4  3 V 2.66-2.67, 4 Mo 2.67-2.75, 1 Re 2.69
Re  0.0000  0.5000  0.5000 x2  2 Re 2.66, 2 V 2.69, 4 Mo 2.71
Mo  0.1269  0.2489  0.2677 x8  3 V 2.59-2.75, 4 Mo 2.65-2.78, 1 Re 2.71

An optimized crystal structure of V2Re2Mo, computed with PBE.

Calculated values
For the calculated volume, the calculation gives 16.1 Å³ per atom. The formation energy is 29.4 kJ per mole of atoms. As for the calculated total energy: -209.8 eV for the cell shown.

Unit cell a=5.1214 b=5.2450 c=12.9332 alpha=84.25 beta=79.01 gamma=71.22
Closest atoms and distances in Å follow each position.
Space group P-1 (No. 2)
One atom of each set of equivalent atoms:
V  0.0046  0.1417  0.2504 x2  4 V 2.51-2.64, 2 Re 2.54-2.58, 1 Mo 2.57
V  0.0209  0.6351  0.2476 x2  4 Re 2.51-2.59, 2 V 2.61-2.64
V  0.3192  0.6187  0.5871 x2  3 Re 2.55-2.57, 2 V 2.57-2.75, 1 Mo 2.58
V  0.3225  0.9432  0.0857 x2  2 V 2.51-2.73, 4 Re 2.51-2.64
Re  0.1514  0.1136  0.9144 x2  4 V 2.51-2.61, 1 Re 2.64, 3 Mo 2.71-2.74
Re  0.1757  0.3812  0.4190 x2  3 V 2.55-2.59, 2 Mo 2.60-2.64, 2 Re 2.61-2.65
Re  0.4830  0.3598  0.7534 x2  4 V 2.55-2.64, 2 Re 2.61-2.64, 2 Mo 2.68-2.73
Re  0.4920  0.8549  0.7511 x2  2 V 2.54-2.58, 4 Re 2.61-2.65
Mo  0.1786  0.8852  0.4167 x2  2 V 2.57-2.58, 3 Re 2.60-2.68, 1 Mo 2.65
Mo  0.2642  0.5682  0.9476 x2  4 Re 2.71-2.74, 2 V 2.84-2.90, 1 Mo 2.85